Entry 1:
CdSnI2N (PBE, relaxed); distance to the lowest polymorph of the same formula = 67.2 kJ/mol of formula units; ΔE_f (raw) = 0.619 eV/atom; energy = -0.0974 Ha/atom; V = 157.4 Å³/f.u.
1.0
-3.294 -3.043 -4.196
1.929 -5.334 2.354
-3.270 -0.037 2.594
I N Sn Cd
2 1 1 1
direct
0.000 0.500 0.000
0.500 0.000 0.000
0.000 0.000 0.500
0.500 0.500 0.500
0.000 0.000 0.000

Entry 2:
TaCdI2N (PBE, relaxed); distance to the lowest polymorph of the same formula = 723.1 kJ/mol of formula units; ΔE_f (raw) = 1.553 eV/atom; energy = -0.1208 Ha/atom; V = 145.7 Å³/f.u.
1.0
6.005 0.000 0.000
0.000 6.005 0.000
0.000 0.000 4.041
I N Cd Ta
2 1 1 1
direct
0.000 0.500 0.000
0.500 0.000 0.000
0.000 0.000 0.500
0.000 0.000 0.000
0.500 0.500 0.500